Entry 1:
The following is a PBE calculation of LiCrAs after structural relaxation, from Alexandria via LeMat-Bulk.

Unit cell a=7.0290 b=4.1863 c=7.2440 alpha=90.00 beta=113.55 gamma=90.00
Last column: nearest neighbours and their distance in Å.
Space group P2 (No. 3)
Symmetry-distinct sites (fractional):
1 Li 0.0000 0.0000 0.0000 x1  4 As 2.76, 2 Cr 2.90, 4 Li 3.00
2 Li 0.0000 0.0510 0.5000 x1  4 As 2.72-2.95, 2 Cr 2.91
3 Li 0.2797 0.4993 0.9477 x2  4 As 2.71-2.84, 3 Li 2.88-3.00, 1 Cr 2.92
4 Cr 0.3516 0.9995 0.3863 x2  1 Cr 2.08
5 Cr 0.4573 0.4989 0.6220 x2  1 Cr 2.08
6 As 0.1437 0.5006 0.2685 x2  4 Cr 2.50-2.63, 3 Li 2.75-2.76
7 As 0.3962 0.9986 0.7777 x2  4 Cr 2.49-2.73, 3 Li 2.71-2.72

D(E_F), states/eV per atom: 0.096
Calculated formation energy, kJ/mol of formula units: -92.2
Total magnetic moment, μB/f.u.: 0.0

Entry 2:
The following is a PBE calculation of ErBeRe after structural relaxation, from Alexandria via LeMat-Bulk.

Unit cell a=7.7058 b=5.3501 c=4.8660 alpha=90.00 beta=90.00 gamma=90.00
Last column: nearest neighbours and their distance in Å.
Space group Pnma (No. 62)
Symmetry-distinct sites (fractional):
1 Er 0.1522 0.2500 0.0004 x4  5 Be 2.66-2.77
2 Be 0.2074 0.7500 0.0007 x4  2 Re 2.62, 5 Er 2.66-2.77
3 Re 0.0000 0.0000 0.5000 x4  2 Be 2.62, 2 Re 2.68

D(E_F), states/eV per atom: 0.782
Calculated formation energy, kJ/mol of formula units: 45.9
Total magnetic moment, μB/f.u.: 0.0

Entry 3:
The following is a PBE calculation of Dy2YLu after structural relaxation, from Alexandria via LeMat-Bulk.

Unit cell a=4.9920 b=4.9920 c=4.9903 alpha=90.00 beta=90.00 gamma=90.00
Last column: nearest neighbours and their distance in Å.
Space group P4/mmm (No. 123)
Symmetry-distinct sites (fractional):
1 Dy 0.0000 0.5000 0.0000 x2  4 Lu 3.53, 4 Y 3.53, 4 Dy 3.53
2 Y 0.0000 0.0000 0.5000 x1  8 Dy 3.53, 4 Lu 3.53
3 Lu 0.5000 0.5000 0.5000 x1  8 Dy 3.53, 4 Y 3.53

Energy relative to the lowest polymorph listed for this composition, kJ/mol of atoms: 0.1
D(E_F), states/eV per atom: 1.461
Calculated formation energy, kJ/mol of formula units: 10.5
Total magnetic moment, μB/f.u.: 0.0

Entry 4:
The following is a PBE calculation of KRhW4 after structural relaxation, from Alexandria via LeMat-Bulk.

Unit cell a=7.6323 b=7.6323 c=7.6323 alpha=90.00 beta=90.00 gamma=90.00
Last column: nearest neighbours and their distance in Å.
Space group F-43m (No. 216)
Symmetry-distinct sites (fractional):
1 K 0.0000 0.0000 0.0000 x4  12 W 3.16, 4 Rh 3.30
2 Rh 0.2500 0.2500 0.7500 x4  12 W 3.17, 4 K 3.30
3 W 0.1261 0.1261 0.3739 x16  6 W 2.67-2.72

D(E_F), states/eV per atom: 0.890
Calculated formation energy, kJ/mol of formula units: 647.5
Total magnetic moment, μB/f.u.: 0.0

Entry 5:
The following is a PBE calculation of BaCdH3 after structural relaxation, from Alexandria via LeMat-Bulk.

Unit cell a=4.8931 b=4.8931 c=4.8931 alpha=90.00 beta=90.00 gamma=90.00
Last column: nearest neighbours and their distance in Å.
Space group Pm-3m (No. 221)
Symmetry-distinct sites (fractional):
1 Ba 0.0000 0.0000 0.0000 x1  6 H 2.45
2 Cd 0.5000 0.5000 0.5000 x1  12 H 3.46
3 H 0.0000 0.0000 0.5000 x3  2 Ba 2.45

Energy relative to the lowest polymorph listed for this composition, kJ/mol of atoms: 54.8
D(E_F), states/eV per atom: 0.453
Total magnetic moment, μB/f.u.: 0.0

Entry 6:
The following is a PBE calculation of Zn4FeCu5 after structural relaxation, from Alexandria via LeMat-Bulk.

Unit cell a=12.6650 b=2.5907 c=8.3498 alpha=90.00 beta=109.14 gamma=90.00
Last column: nearest neighbours and their distance in Å.
Space group C2/m (No. 12)
Symmetry-distinct sites (fractional):
1 Zn 0.0920 0.0000 0.3009 x4  6 Cu 2.50-2.68, 4 Zn 2.59-2.75, 2 Fe 2.73
2 Zn 0.1104 0.5000 0.7988 x4  6 Cu 2.43-2.64, 1 Fe 2.51, 2 Zn 2.59
3 Fe 0.0000 0.5000 0.0000 x2  6 Zn 2.51-2.73, 4 Cu 2.58, 2 Fe 2.59
4 Cu 0.0000 0.5000 0.5000 x2  6 Zn 2.43-2.66, 2 Cu 2.59
5 Cu 0.1866 0.0000 0.0808 x4  4 Zn 2.43-2.58, 2 Fe 2.58, 2 Cu 2.59
6 Cu 0.2124 0.0000 0.6158 x4  5 Zn 2.57-2.68, 8 Cu 2.59-2.85

D(E_F), states/eV per atom: 0.547
Calculated formation energy, kJ/mol of formula units: 23.0
Total magnetic moment, μB/f.u.: 2.4

Entry 7:
The following is a PBE calculation of Ba3Al2SbO9 after structural relaxation, from Alexandria via LeMat-Bulk.

Unit cell a=5.6718 b=5.6718 c=6.9705 alpha=90.00 beta=90.00 gamma=120.00
Last column: nearest neighbours and their distance in Å.
Space group P-3m1 (No. 164)
Symmetry-distinct sites (fractional):
1 Ba 0.0000 0.0000 0.0000 x1  12 O 2.84
2 Ba 0.3333 0.6667 0.6707 x2  12 O 2.82-2.87
3 Al 0.3333 0.6667 0.1555 x2  6 O 1.96-2.03
4 Sb 0.0000 0.0000 0.5000 x1  6 O 2.03
5 O 0.0000 0.5000 0.0000 x3  2 Al 1.96
6 O 0.1686 0.3371 0.3311 x6  1 Al 2.03, 1 Sb 2.03

D(E_F), states/eV per atom: 0.541
Formation energy (no corrections), eV per atom: -2.430
Total magnetic moment, μB/f.u.: 0.9

Entry 8:
The following is a PBE calculation of CeAs3Ru5 after structural relaxation, from Alexandria via LeMat-Bulk.

Unit cell a=3.1055 b=13.4005 c=14.3128 alpha=90.00 beta=90.00 gamma=90.00
Last column: nearest neighbours and their distance in Å.
Space group Cmcm (No. 63)
Symmetry-distinct sites (fractional):
1 Ce 0.0000 0.1520 0.2500 x4  4 Ru 3.07, 2 Ce 3.11, 6 As 3.27-3.33
2 As 0.0000 0.1280 0.7500 x4  6 Ru 2.54
3 As 0.0000 0.3652 0.5498 x8  6 Ru 2.37-2.57
4 Ru 0.0000 0.0000 0.0000 x4  4 As 2.49, 4 Ru 2.72
5 Ru 0.0000 0.1917 0.5826 x8  4 As 2.37-2.57
6 Ru 0.0000 0.4822 0.1551 x8  3 As 2.54, 3 Ru 2.72

D(E_F), states/eV per atom: 1.071
Calculated formation energy, kJ/mol of formula units: -169.4
Total magnetic moment, μB/f.u.: 0.5

Entry 9:
The following is a PBE calculation of PrAg4Au8 after structural relaxation, from Alexandria via LeMat-Bulk.

Unit cell a=9.5474 b=9.5474 c=5.5958 alpha=90.00 beta=90.00 gamma=90.00
Last column: nearest neighbours and their distance in Å.
Space group I4/mmm (No. 139)
Symmetry-distinct sites (fractional):
1 Pr 0.0000 0.0000 0.0000 x2  12 Au 3.31-3.46, 8 Ag 3.65
2 Ag 0.2500 0.2500 0.2500 x8  8 Au 2.79-2.92, 2 Ag 2.80
3 Au 0.0000 0.2141 0.5000 x8  4 Ag 2.79, 6 Au 2.89-3.10
4 Au 0.0000 0.3463 0.0000 x8  4 Ag 2.92, 5 Au 2.94-3.10

D(E_F), states/eV per atom: 0.334
Calculated formation energy, kJ/mol of formula units: -220.8
Total magnetic moment, μB/f.u.: 0.0

Entry 10:
The following is a PBE calculation of KCr2Co after structural relaxation, from Alexandria via LeMat-Bulk.

Unit cell a=8.5641 b=2.8686 c=6.7441 alpha=90.00 beta=94.48 gamma=90.00
Last column: nearest neighbours and their distance in Å.
Space group C2/m (No. 12)
Symmetry-distinct sites (fractional):
1 K 0.0000 0.0000 0.0000 x2  2 K 2.87
2 Cr 0.2242 0.0000 0.6043 x4  2 Cr 2.08
3 Co 0.0000 0.5000 0.5000 x2  6 Cr 2.46-2.52

Energy relative to the lowest polymorph listed for this composition, kJ/mol of atoms: 14.5
D(E_F), states/eV per atom: 1.052
Calculated formation energy, kJ/mol of formula units: 350.1
Total magnetic moment, μB/f.u.: 1.3

Entry 11:
The following is a PBE calculation of RuF after structural relaxation, from Alexandria via LeMat-Bulk.

Unit cell a=4.6576 b=5.0218 c=8.6379 alpha=90.00 beta=90.00 gamma=90.00
Last column: nearest neighbours and their distance in Å.
Space group P2_12_12_1 (No. 19)
Symmetry-distinct sites (fractional):
1 Ru 0.0264 0.1380 0.1969 x4  2 F 2.17-2.31
2 Ru 0.0287 0.3260 0.9320 x4  3 F 2.00-2.23
3 F 0.0375 0.6639 0.0546 x4  2 Ru 2.00-2.17
4 F 0.0384 0.9714 0.8093 x4  3 Ru 2.07-2.31

Energy relative to the lowest polymorph listed for this composition, kJ/mol of atoms: 16.0
D(E_F), states/eV per atom: 0.731
Formation energy (no corrections), eV per atom: -0.519
Total magnetic moment, μB/f.u.: 0.0

Entry 12:
The following is a PBE calculation of NaPr2H6Rh2 after structural relaxation, from Alexandria via LeMat-Bulk.

Unit cell a=5.0225 b=5.0225 c=18.4948 alpha=90.00 beta=90.00 gamma=120.00
Last column: nearest neighbours and their distance in Å.
Space group R-3m (No. 166, hexagonal axes)
Symmetry-distinct sites (fractional):
1 Na 0.0000 0.0000 0.0000 x3  6 H 2.38
2 Pr 0.0000 0.0000 0.2272 x6  9 H 2.51-2.75
3 H 0.0044 0.5022 0.2320 x18  1 Rh 1.73
4 Rh 0.0000 0.0000 0.3820 x6  3 H 1.73

D(E_F), states/eV per atom: 0.394
E, eV/atom: -4.535
Total magnetic moment, μB/f.u.: 0.0

Entry 13:
The following is a PBE calculation of Ce2SiBIr6 after structural relaxation, from Alexandria via LeMat-Bulk.

Unit cell a=5.6771 b=8.4679 c=7.1066 alpha=90.00 beta=90.00 gamma=90.00
Last column: nearest neighbours and their distance in Å.
Space group Pmmn (No. 59, origin choice 2)
Symmetry-distinct sites (fractional):
1 Ce 0.2500 0.0332 0.2099 x4  9 Ir 2.91-3.14
2 Si 0.2500 0.7500 0.8160 x2  6 Ir 2.39-2.58
3 B 0.2500 0.2500 0.6954 x2  6 Ir 2.07-2.14
4 Ir 0.0016 0.7500 0.0879 x4  1 B 2.10
5 Ir 0.0143 0.7500 0.5058 x4  1 B 2.07
6 Ir 0.2500 0.0008 0.6463 x4  1 B 2.14

D(E_F), states/eV per atom: 0.740
Formation energy (no corrections), eV per atom: -0.614
Total magnetic moment, μB/f.u.: 0.0

Entry 14:
The following is a PBE calculation of Tb2MgGa2Pd5 after structural relaxation, from Alexandria via LeMat-Bulk.

Unit cell a=9.8947 b=9.8947 c=3.7574 alpha=90.00 beta=90.00 gamma=90.00
Last column: nearest neighbours and their distance in Å.
Space group P4/mbm (No. 127)
Symmetry-distinct sites (fractional):
1 Tb 0.1752 0.3248 0.0000 x4  3 Ga 2.82-3.00, 2 Pd 3.09
2 Mg 0.0000 0.0000 0.0000 x2  8 Pd 2.86
3 Ga 0.1233 0.6233 0.0000 x4  6 Pd 2.55-2.58, 1 Tb 2.82
4 Pd 0.0000 0.5000 0.5000 x2  4 Ga 2.55
5 Pd 0.0641 0.7917 0.5000 x8  2 Ga 2.58, 2 Mg 2.86

D(E_F), states/eV per atom: 0.735
Calculated formation energy, kJ/mol of formula units: -723.6
Total magnetic moment, μB/f.u.: 0.0

Entry 15:
The following is a PBE calculation of CsCa2Au after structural relaxation, from Alexandria via LeMat-Bulk.

Unit cell a=8.0755 b=8.0755 c=8.0755 alpha=90.00 beta=90.00 gamma=90.00
Last column: nearest neighbours and their distance in Å.
Space group Fm-3m (No. 225)
Symmetry-distinct sites (fractional):
1 Cs 0.0000 0.0000 0.0000 x4  8 Ca 3.50
2 Ca 0.2500 0.2500 0.2500 x8  4 Au 3.50, 4 Cs 3.50
3 Au 0.0000 0.0000 0.5000 x4  8 Ca 3.50

Energy relative to the lowest polymorph listed for this composition, kJ/mol of atoms: 12.9
D(E_F), states/eV per atom: 1.194
Calculated formation energy, kJ/mol of formula units: 19.4
Total magnetic moment, μB/f.u.: 0.0

Entry 16:
The following is a PBE calculation of Pa2TiH after structural relaxation, from Alexandria via LeMat-Bulk.

Unit cell a=3.1234 b=3.1234 c=24.9964 alpha=90.00 beta=90.00 gamma=120.00
Last column: nearest neighbours and their distance in Å.
Space group R-3m (No. 166, hexagonal axes)
Symmetry-distinct sites (fractional):
1 Pa 0.0000 0.0000 0.2300 x6  3 H 2.40
2 Ti 0.0000 0.0000 0.0000 x3  6 Ti 3.12, 6 Pa 3.15
3 H 0.0000 0.0000 0.5000 x3  6 Pa 2.40

Energy relative to the lowest polymorph listed for this composition, kJ/mol of atoms: 0.0
D(E_F), states/eV per atom: 1.229
Total magnetic moment, μB/f.u.: 0.0

Entry 17:
The following is a PBE calculation of ZrMnTl2Ga after structural relaxation, from Alexandria via LeMat-Bulk.

Unit cell a=5.2092 b=5.2092 c=4.6158 alpha=90.00 beta=90.00 gamma=90.00
Last column: nearest neighbours and their distance in Å.
Space group P4/mmm (No. 123)
Symmetry-distinct sites (fractional):
1 Zr 0.0000 0.0000 0.0000 x1  2 Mn 2.31
2 Mn 0.0000 0.0000 0.5000 x1  2 Zr 2.31
3 Tl 0.0000 0.5000 0.5000 x2  2 Mn 2.60
4 Ga 0.5000 0.5000 0.0000 x1  8 Tl 3.48, 4 Zr 3.68

D(E_F), states/eV per atom: 0.898
Calculated formation energy, kJ/mol of formula units: 220.8
Total magnetic moment, μB/f.u.: 0.0